## RbCoI2O (GGA+U)

Data for an optimized crystal structure of RbCoI2O.

## Properties
The calculated total energy comes out at -2.06 eV per atom. As for the symmetry: P4/mmm (123). The size of the total moment comes out at 2.3 μB per formula unit. The density of states at the Fermi level is 7.43 states/eV/cell.

Unit cell a=6.582 b=6.582 c=4.430 alpha=90.00 beta=90.00 gamma=90.00
Atoms (fractional coordinates):
Rb1 0.000 0.000 0.000
Co1 0.500 0.500 0.500
I1 0.000 0.500 0.000
I2 0.500 0.000 0.000
O1 0.000 0.000 0.500